# 1
Material: RbHfHg2Cl
Method: DFT, PBE
State: relaxed

Calculated values
total moment = 0.00 μB/f.u.
energy relative to the elements, uncorrected = -0.287 eV per atom
N(E_F) = 1.208 states/eV per atom

Cell lengths 5.7611, 5.7611, 5.0368 Å; angles 90.00, 90.00, 90.00 degrees
Closest atoms and distances in Å follow each position.
Space group P4/mmm (No. 123)
Asymmetric unit:
Rb 0.0000 0.0000 0.0000 [1 per cell]  8 Hg 3.83, 4 Cl 4.07
Hf 0.5000 0.5000 0.5000 [1 per cell]  2 Cl 2.52
Hg 0.0000 0.5000 0.5000 [2 per cell]  2 Hf 2.88
Cl 0.5000 0.5000 0.0000 [1 per cell]  2 Hf 2.52

# 2
Material: Rb2HfHg2Cl6
Method: DFT, PBE
State: relaxed

Calculated values
total moment = 0.00 μB/f.u.
energy relative to the elements, uncorrected = -1.572 eV per atom
N(E_F) = 0.000 states/eV per atom

Cell lengths 7.9231, 13.9029, 9.3026 Å; angles 90.00, 110.69, 90.00 degrees
Closest atoms and distances in Å follow each position.
Space group C2/m (No. 12)
Asymmetric unit:
Rb 0.0000 0.1676 0.0000 [4 per cell]  6 Cl 3.33-3.35
Hf 0.0000 0.5000 0.0000 [2 per cell]  6 Cl 2.47
Hg 0.0000 0.2942 0.5000 [4 per cell]  6 Cl 3.97-4.12, 2 Hg 4.15
Cl 0.1882 0.5000 0.8374 [4 per cell]  1 Hf 2.47
Cl 0.1947 0.3739 0.1631 [8 per cell]  1 Hf 2.47

# 3
Material: Rb2HfHgCl6
Method: DFT, PBE
State: relaxed

Calculated values
offset from the most stable computed form = 61.4 meV/atom
total moment = 0.00 μB/f.u.
energy relative to the elements, uncorrected = -1.688 eV per atom
N(E_F) = 0.000 states/eV per atom

Cell lengths 11.5401, 11.5401, 11.5401 Å; angles 90.00, 90.00, 90.00 degrees
Closest atoms and distances in Å follow each position.
Space group Fm-3m (No. 225)
Asymmetric unit:
Rb 0.2500 0.2500 0.2500 [8 per cell]  12 Cl 4.10
Hf 0.0000 0.0000 0.0000 [4 per cell]  6 Cl 2.46
Hg 0.0000 0.0000 0.5000 [4 per cell]  6 Cl 3.31
Cl 0.0000 0.0000 0.2131 [24 per cell]  1 Hf 2.46

Please write out number 1 again, unchanged.
Material: RbHfHg2Cl
Method: DFT, PBE
State: relaxed

Calculated values
total moment = 0.00 μB/f.u.
energy relative to the elements, uncorrected = -0.287 eV per atom
N(E_F) = 1.208 states/eV per atom

Cell lengths 5.7611, 5.7611, 5.0368 Å; angles 90.00, 90.00, 90.00 degrees
Closest atoms and distances in Å follow each position.
Space group P4/mmm (No. 123)
Asymmetric unit:
Rb 0.0000 0.0000 0.0000 [1 per cell]  8 Hg 3.83, 4 Cl 4.07
Hf 0.5000 0.5000 0.5000 [1 per cell]  2 Cl 2.52
Hg 0.0000 0.5000 0.5000 [2 per cell]  2 Hf 2.88
Cl 0.5000 0.5000 0.0000 [1 per cell]  2 Hf 2.52

What is the total moment in the second record?
0.00 μB/f.u.